A relaxed structure of NdHoTm. Source: OQMD, functional PBE-GGA.

## Properties
E above lowest polymorph: 0 meV per atom
energy of formation: 214 meV/atom
ρ: 7.925 g cm⁻³

a b c (Å): 4.823 4.823 8.613
angles (deg): 90.00 90.00 90.00
Space group P4/nmm (No. 129, origin choice 2)
Symmetry-distinct sites (fractional):
1 Nd 0.250 0.250 0.192 x2
2 Ho 0.250 0.750 0.500 x2
3 Tm 0.250 0.250 0.794 x2